Entry 1:
Below is a geometry-optimized TaSiAu structure, with properties calculated at the PBE level.

Unit cell a=2.9294 b=2.9294 c=6.7651 alpha=90.00 beta=90.00 gamma=120.00
Space group P3m1 (No. 156)
Asymmetric unit:
Ta 0.0000 0.0000 0.0000 (multiplicity 1)
Si 0.3333 0.6667 0.6818 (multiplicity 1)
Au 0.6667 0.3333 0.3536 (multiplicity 1)

## Properties
Final energy (eV/f.u.): -20.41
Magnetic moment (μB per atom): 0.000
Formation energy without anion corrections (meV per atom): 47


Entry 2:
Below is a geometry-optimized TaSi2Au structure, with properties calculated at the PBE level.

Unit cell a=3.9562 b=3.9562 c=8.1597 alpha=90.00 beta=90.00 gamma=90.00
Space group I4/mmm (No. 139)
Asymmetric unit:
Ta 0.0000 0.0000 0.0000 (multiplicity 2)
Si 0.0000 0.5000 0.2500 (multiplicity 4)
Au 0.0000 0.0000 0.5000 (multiplicity 2)

## Properties
Final energy (eV/f.u.): -25.61
Magnetic moment (μB per atom): 0.000
Formation energy without anion corrections (meV per atom): 92